# 1
VASP calculation (PBE-GGA) on an optimized crystal structure of BaLaP2.

Calculated values
N(E_F)   5.191 states/eV/f.u.
Electronic total energy   -5.511 eV per atom
ΔE to the lowest computed polymorph   0.0 meV/atom
Energy relative to the elements   -1.094 eV/atom

Unit cell a=4.4291 b=4.4291 c=7.7966 alpha=106.42 beta=106.42 gamma=59.94
Closest atoms and distances in Å follow each position.
Fractional coordinates of all 4 atoms:
Ba1 0.0000 0.0000 0.0000  6 P 3.30
La1 0.5000 0.5000 0.5000  6 P 3.02
P1 0.2393 0.2393 0.7175  3 La 3.02, 3 Ba 3.30
P2 0.7607 0.7607 0.2825  3 La 3.02, 3 Ba 3.30


# 2
VASP calculation (PBE-GGA) on an optimized crystal structure of Ba2LiMnCl6.

Calculated values
Formation energy (no corrections)   -1.72 eV per atom
N(E_F)   3.834 states/eV/f.u.
Electronic total energy   -4.316 eV per atom

Unit cell a=11.9275 b=11.9275 c=11.9275 alpha=34.05 beta=34.05 gamma=34.05
Closest atoms and distances in Å follow each position.
Fractional coordinates of all 20 atoms:
Ba1 0.1285 0.1285 0.1285  12 Cl 3.27-3.54
Ba2 0.2904 0.2904 0.2904  12 Cl 3.46-3.50
Ba3 0.7096 0.7096 0.7096  12 Cl 3.46-3.50
Ba4 0.8715 0.8715 0.8715  12 Cl 3.27-3.54
Li1 0.4190 0.4190 0.4190  6 Cl 2.46-2.50, 1 Mn 2.73
Li2 0.5810 0.5810 0.5810  6 Cl 2.46-2.50, 1 Mn 2.73
Mn1 0.0000 0.0000 0.0000  6 Cl 2.50
Mn2 0.5000 0.5000 0.5000  6 Cl 2.45, 2 Li 2.73
Cl1 0.1200 0.6312 0.6312  1 Mn 2.45, 1 Li 2.50
Cl2 0.2115 0.2115 0.7046  1 Li 2.46, 1 Mn 2.50
Cl3 0.2115 0.7046 0.2115  1 Li 2.46, 1 Mn 2.50
Cl4 0.2954 0.7885 0.7885  1 Li 2.46, 1 Mn 2.50
Cl5 0.3688 0.3688 0.8800  1 Mn 2.45, 1 Li 2.50
Cl6 0.3688 0.8800 0.3688  1 Mn 2.45, 1 Li 2.50
Cl7 0.6312 0.1200 0.6312  1 Mn 2.45, 1 Li 2.50
Cl8 0.6312 0.6312 0.1200  1 Mn 2.45, 1 Li 2.50
Cl9 0.7046 0.2115 0.2115  1 Li 2.46, 1 Mn 2.50
Cl10 0.7885 0.2954 0.7885  1 Li 2.46, 1 Mn 2.50
Cl11 0.7885 0.7885 0.2954  1 Li 2.46, 1 Mn 2.50
Cl12 0.8800 0.3688 0.3688  1 Mn 2.45, 1 Li 2.50


# 3
VASP calculation (PBE-GGA) on an optimized crystal structure of Fe6Co5Pt.

Calculated values
N(E_F)   10.590 states/eV/f.u.
Electronic total energy   -7.747 eV per atom
Energy relative to the elements   -0.052 eV/atom

Unit cell a=7.0555 b=7.0555 c=7.0555 alpha=146.47 beta=131.38 gamma=60.36
Closest atoms and distances in Å follow each position.
Fractional coordinates of all 12 atoms:
Fe1 0.0691 0.3277 0.7414  7 Co 2.45-2.53, 1 Pt 2.58
Fe2 0.2304 0.0000 0.2304  6 Co 2.44-2.53, 2 Pt 2.57, 1 Fe 2.68
Fe3 0.4137 0.6723 0.7414  7 Co 2.45-2.53, 1 Pt 2.58
Fe4 0.5863 0.3277 0.2586  7 Co 2.45-2.53, 1 Pt 2.58
Fe5 0.7696 0.0000 0.7696  6 Co 2.44-2.53, 2 Pt 2.57, 1 Fe 2.68
Fe6 0.9309 0.6723 0.2586  7 Co 2.45-2.53, 1 Pt 2.58
Co1 0.0000 0.5000 0.5000  8 Fe 2.44-2.53
Co2 0.1688 0.1688 0.0000  8 Fe 2.45-2.47
Co3 0.3376 0.8376 0.5000  8 Fe 2.46-2.53
Co4 0.6624 0.1624 0.5000  8 Fe 2.46-2.53
Co5 0.8312 0.8312 0.0000  8 Fe 2.45-2.47
Pt1 0.5000 0.5000 0.0000  8 Fe 2.57-2.58, 4 Co 2.84